1.
Here is a geometry-optimized TbDyHo4Se8 structure from the Alexandria database. Energies are from PBE.

The structure belongs to space group R3m (No. 160, hexagonal axes); the cell edges are 8.3940, 8.3940 and 20.5754 Å and the angles 90.00°, 90.00° and 120.00°. The distinct sites, in fractional coordinates, are Tb at (0.0000, 0.0000, 0.0000), Dy at (0.0000, 0.0000, 0.3749), Ho at (0.0000, 0.0000, 0.7497), Ho at (0.1670, 0.3340, 0.2081), Se at (0.0000, 0.0000, 0.1333), Se at (0.0000, 0.0000, 0.6174), Se at (0.0188, 0.5094, 0.1276) and Se at (0.1773, 0.3545, 0.9549).

The calculation puts the magnetization at 0.000 μB/atom. The uncorrected formation energy is -164.9 kJ per mole of atoms. The value obtained for the density of states at the Fermi level is 0.6165 states/eV/atom.

=====

2.
Here is a geometry-optimized LiAl3Co2 structure from the Alexandria database. Energies are from PBE.

The structure belongs to space group P4/mmm (No. 123); the cell edges are 2.884, 2.884 and 9.084 Å and the angles 90.00°, 90.00° and 90.00°. The distinct sites, in fractional coordinates, are Li at (0.000, 0.000, 0.000), Al at (0.500, 0.500, 0.190), Al at (0.500, 0.500, 0.500) and Co at (0.000, 0.000, 0.341).

The calculation puts the magnetization at 0.070 μB/atom. Its calculated formation energy is -2.6 eV/f.u. The value obtained for the density of states at the Fermi level is 0.3874 states/eV/atom.

=====

- Among the records above, which one has the highest magnetization?
  LiAl3Co2

=====

- Number 1 is which compound?
  TbDyHo4Se8

=====

- Among the records above, which one has the lowest magnetization?
  TbDyHo4Se8